1.
A plane-wave DFT calculation with GGA-PBE was carried out for B5C7 after structural relaxation. Values from VASP.

E_tot: -7.768 eV per atom

```
&SYSTEM
  ibrav = 0, nat = 12, ntyp = 2
/
ATOMIC_SPECIES
B 10.81 B.upf
C 12.01 C.upf
CELL_PARAMETERS angstrom
2.5843 0.0000 0.0000
-1.2922 2.2381 0.0000
0.0000 0.0000 13.5924
ATOMIC_POSITIONS crystal
B 0.0000 0.0000 0.8729
B 0.6667 0.3333 0.3086
B 0.0000 0.0000 0.3896
B 0.0000 0.0000 0.5146
B 0.3333 0.6667 0.1555
C 0.6667 0.3333 0.8282
C 0.3333 0.6667 0.6765
C 0.6667 0.3333 0.7175
C 0.3333 0.6667 0.5669
C 0.6667 0.3333 0.1954
C 0.0000 0.0000 0.9977
C 0.3333 0.6667 0.0266
```

2.
A plane-wave DFT calculation with GGA-PBE was carried out for Fe2AsW after structural relaxation. Values from VASP.

E_tot: -8.376 eV per atom

```
&SYSTEM
  ibrav = 0, nat = 4, ntyp = 3
/
ATOMIC_SPECIES
As 74.92 As.upf
Fe 55.84 Fe.upf
W 183.84 W.upf
CELL_PARAMETERS angstrom
-3.7753 1.8844 1.3707
-4.3102 0.2328 -1.0247
-1.6015 -3.2212 2.5787
ATOMIC_POSITIONS crystal
As 0.2500 0.2500 0.2500
Fe 0.0002 0.0002 0.9973
Fe 0.4998 0.4998 0.5027
W 0.7500 0.7500 0.7500
```

3.
A plane-wave DFT calculation with GGA-PBE was carried out for Pr3Er3PuTe8 after structural relaxation. Values from VASP.

formation energy from raw total energies: -129.82 kJ/mol of atoms

```
&SYSTEM
  ibrav = 0, nat = 15, ntyp = 4
/
ATOMIC_SPECIES
Pr 140.91 Pr.upf
Er 167.26 Er.upf
Pu 244.00 Pu.upf
Te 127.60 Te.upf
CELL_PARAMETERS angstrom
8.7945 -0.0001 0.0000
-4.3973 7.6170 -0.0267
0.0001 -5.0527 7.2842
ATOMIC_POSITIONS crystal
Pr 0.0000 0.0000 0.0000
Pr 0.0000 0.5000 0.0000
Pr 0.5000 0.5000 0.0000
Er 0.5000 0.0000 0.5000
Er 0.5000 0.5000 0.5000
Er 0.0000 0.5000 0.5000
Pu 0.0000 0.0000 0.5000
Te 0.2555 0.5109 0.2664
Te 0.7445 0.4891 0.7336
Te 0.7444 0.4888 0.2557
Te 0.2556 0.5112 0.7443
Te 0.7444 0.0113 0.2557
Te 0.2556 0.9887 0.7443
Te 0.2668 0.0113 0.2557
Te 0.7332 0.9887 0.7443
```